Entry 1:
Entry from Alexandria via LeMat-Bulk: a relaxed Ca2InGa crystal (GGA-PBE).

DFT formation energy = -0.0999 eV per atom
calculated volume = 30.51 Å³/atom
total magnetization = 0.0 Bohr magnetons per cell

Unit cell a=8.408 b=8.408 c=6.906 alpha=90.00 beta=90.00 gamma=90.00
Space group I-42d (No. 122)
Inequivalent atoms, fractional coordinates:
Ca1 0.230 0.250 0.125
In1 0.000 0.000 0.500
Ga1 0.000 0.000 0.000

Entry 2:
Entry from Alexandria via LeMat-Bulk: a relaxed CaInGaIr2 crystal (GGA-PBE).

DFT formation energy = 1.1070 eV per atom
calculated volume = 26.49 Å³/atom
total magnetization = 0.0 Bohr magnetons per cell

Unit cell a=4.979 b=4.979 c=5.342 alpha=90.00 beta=90.00 gamma=90.00
Space group P4/mmm (No. 123)
Inequivalent atoms, fractional coordinates:
Ca1 0.000 0.000 0.000
In1 0.000 0.000 0.500
Ga1 0.500 0.500 0.000
Ir1 0.000 0.500 0.500

Entry 3:
Entry from Alexandria via LeMat-Bulk: a relaxed KCa2InGa crystal (GGA-PBE).

DFT formation energy = 0.3005 eV per atom
calculated volume = 47.38 Å³/atom
total magnetization = 0.0 Bohr magnetons per cell

Unit cell a=6.067 b=6.067 c=6.436 alpha=90.00 beta=90.00 gamma=90.00
Space group P4/mmm (No. 123)
Inequivalent atoms, fractional coordinates:
K1 0.000 0.000 0.000
Ca1 0.000 0.500 0.500
In1 0.000 0.000 0.500
Ga1 0.500 0.500 0.000

Entry 4:
Entry from Alexandria via LeMat-Bulk: a relaxed CaLaInGa2 crystal (GGA-PBE).

DFT formation energy = 0.2265 eV per atom
calculated volume = 31.12 Å³/atom
total magnetization = 0.0 Bohr magnetons per cell

Unit cell a=5.311 b=5.311 c=5.517 alpha=90.00 beta=90.00 gamma=90.00
Space group P4/mmm (No. 123)
Inequivalent atoms, fractional coordinates:
Ca1 0.000 0.000 0.000
La1 0.500 0.500 0.500
In1 0.000 0.000 0.500
Ga1 0.000 0.500 0.000